{"formula": "NaMg2Pb", "functional": "GGA-PBE", "state": "relaxed", "formation_energy_ev_per_atom": -0.052, "magmom_total_mub_per_cell": 0.0, "lattice": [[5.068, 0.000, 0.000], [0.000, 6.350, 0.000], [0.000, 0.000, 6.647]], "species": ["Na", "Mg", "Na", "Pb", "Mg", "Mg", "Mg", "Pb"], "fractional_positions": [[0.000, 0.000, 0.394], [0.000, 0.254, 0.858], [0.500, 0.500, 0.606], [0.500, 0.000, 0.725], [0.000, 0.746, 0.858], [0.500, 0.754, 0.142], [0.500, 0.246, 0.142], [0.000, 0.500, 0.275]]}